[1]
{
  "formula": "PrPuSn2",
  "functional": "PBE-GGA",
  "state": "optimized geometry",
  "lattice_angstrom": [[-3.847, -2.637, 0.634], [2.475, -3.584, 0.111], [2.489, 1.888, 5.495]],
  "species": ["Sn", "Sn", "Pu", "Pr"],
  "fractional_positions": [[0.170, 0.500, 0.879], [0.996, 0.000, 0.530], [0.447, 0.500, 0.432], [0.719, 0.000, 0.977]],
  "volume_a3_per_cell": 120,
  "formation_energy_ev_per_atom": -0.49,
  "sg": "Amm2",
  "rho_g_cm3": 8.59
}


[2]
{
  "formula": "NdDyHoMg",
  "functional": "PBE-GGA",
  "state": "optimized geometry",
  "lattice_angstrom": [[5.548, 0.000, 0.000], [2.774, 4.805, 0.000], [2.774, 1.602, 4.530]],
  "species": ["Dy", "Mg", "Ho", "Nd"],
  "fractional_positions": [[0.750, 0.750, 0.750], [0.000, 0.000, 0.000], [0.500, 0.500, 0.500], [0.250, 0.250, 0.250]],
  "volume_a3_per_cell": 121,
  "formation_energy_ev_per_atom": 0.04,
  "sg": "F-43m",
  "rho_g_cm3": 6.82,
  "e_above_lowest_polymorph_mev_per_atom": 64
}


[3]
{
  "formula": "BP2C3",
  "functional": "PBE-GGA",
  "state": "optimized geometry",
  "lattice_angstrom": [[3.928, -0.015, -0.003], [1.088, 3.987, -0.005], [1.308, 1.122, 3.995]],
  "species": ["C", "C", "C", "P", "P", "B"],
  "fractional_positions": [[0.121, 0.197, 0.725], [0.404, 0.898, 0.733], [0.489, 0.634, 0.035], [0.089, 0.439, 0.313], [0.646, 0.874, 0.322], [0.837, 0.301, 0.035]],
  "volume_a3_per_cell": 63,
  "formation_energy_ev_per_atom": 0.40,
  "sg": "P1",
  "rho_g_cm3": 2.88,
  "e_above_lowest_polymorph_mev_per_atom": 93
}


[4]
{
  "formula": "CsRbI2N",
  "functional": "PBE-GGA",
  "state": "optimized geometry",
  "lattice_angstrom": [[6.967, 0.000, 0.000], [0.000, 6.967, 0.000], [0.000, 0.000, 5.747]],
  "species": ["N", "Rb", "I", "I", "Cs"],
  "fractional_positions": [[0.000, 0.000, 0.500], [0.000, 0.000, 0.000], [0.000, 0.500, 0.000], [0.500, 0.000, 0.000], [0.500, 0.500, 0.500]],
  "volume_a3_per_cell": 279,
  "sg": "P4/mmm",
  "rho_g_cm3": 2.89,
  "formation_energy_uncorrected_mev_per_atom": -63,
  "e_above_lowest_polymorph_mev_per_atom": 0
}


[5]
{
  "formula": "AsRuF2",
  "functional": "PBE-GGA",
  "state": "optimized geometry",
  "lattice_angstrom": [[-3.703, 3.703, 2.344], [3.703, -3.703, 2.344], [3.703, 3.703, -2.344]],
  "species": ["F", "F", "F", "F", "Ru", "Ru", "As", "As"],
  "fractional_positions": [[0.625, 0.748, 0.623], [0.125, 0.002, 0.377], [0.998, 0.375, 0.123], [0.252, 0.875, 0.877], [0.250, 0.750, 0.500], [0.000, 0.000, 0.000], [0.500, 0.500, 0.000], [0.750, 0.250, 0.500]],
  "volume_a3_per_cell": 129,
  "sg": "I-42d",
  "rho_g_cm3": 5.53,
  "formation_energy_uncorrected_mev_per_atom": -521,
  "e_above_lowest_polymorph_mev_per_atom": 75
}


[6]
{
  "formula": "Y2Zn2Ni",
  "functional": "PBE-GGA",
  "state": "optimized geometry",
  "lattice_angstrom": [[-0.836, 0.501, 3.701], [-4.599, -2.944, 1.339], [6.349, -7.016, 4.363]],
  "species": ["Zn", "Zn", "Zn", "Zn", "Ni", "Ni", "Y", "Y", "Y", "Y"],
  "fractional_positions": [[0.124, 0.200, 0.552], [0.637, 0.834, 0.892], [0.876, 0.800, 0.448], [0.363, 0.166, 0.108], [0.380, 0.923, 0.316], [0.620, 0.077, 0.684], [0.930, 0.263, 0.876], [0.666, 0.333, 0.335], [0.334, 0.667, 0.665], [0.070, 0.737, 0.124]],
  "volume_a3_per_cell": 206,
  "formation_energy_ev_per_atom": -0.39,
  "sg": "C2/m",
  "rho_g_cm3": 5.93,
  "e_above_lowest_polymorph_mev_per_atom": 0
}


[7]
{
  "formula": "ReP2Pt",
  "functional": "PBE-GGA",
  "state": "optimized geometry",
  "lattice_angstrom": [[7.540, 0.010, 0.006], [6.912, 3.012, 0.006], [6.912, 1.445, 2.642]],
  "species": ["Pt", "Re", "P", "P"],
  "fractional_positions": [[0.512, 0.512, 0.512], [0.738, 0.738, 0.738], [0.249, 0.249, 0.249], [0.000, 0.000, 0.000]],
  "volume_a3_per_cell": 60,
  "formation_energy_ev_per_atom": -0.03,
  "sg": "R3m",
  "rho_g_cm3": 12.33,
  "e_above_lowest_polymorph_mev_per_atom": 193
}


[8]
{
  "formula": "AlMo3",
  "functional": "PBE-GGA",
  "state": "optimized geometry",
  "lattice_angstrom": [[-2.818, -0.076, 0.107], [1.485, -2.386, 0.241], [0.315, 1.117, 9.115]],
  "species": ["Mo", "Mo", "Mo", "Al"],
  "fractional_positions": [[0.667, 0.333, 0.757], [0.000, 0.000, 0.500], [0.667, 0.333, 0.243], [0.000, 0.000, 0.000]],
  "volume_a3_per_cell": 63,
  "formation_energy_ev_per_atom": 0.13,
  "sg": "P-6m2",
  "rho_g_cm3": 8.26,
  "e_above_lowest_polymorph_mev_per_atom": 388
}